(1)
This record from Alexandria via LeMat-Bulk describes crystalline Ho4ZrSc at its relaxed geometry. The functional is GGA-PBE.

```
Ho4ZrSc
1.0
4.3284 -7.0715 0.0000
4.3284 7.0715 0.0000
-2.1267 0.0000 5.7487
Ho Zr Sc
8 2 2
Cartesian
1.4778 4.3786 5.4886
1.2293 1.5162 3.6481
3.9891 4.3786 3.1345
2.2927 -1.5162 0.7737
4.2375 1.5162 4.9750
2.5411 -4.3786 2.6142
5.3009 -1.5162 2.1006
5.0524 -4.3786 0.2601
2.7334 7.0607 4.3116
3.7968 -7.0607 1.4372
3.7968 1.3787 1.4372
2.7334 -1.3787 4.3116
```

Output
DOS(E_F) = 21.4 states/eV per cell
space-group type = C2/c (15)
total energy = -5.3713 eV per atom
formation enthalpy at 0 K = 0.16 eV/atom

=====

(2)
This record from Alexandria via LeMat-Bulk describes crystalline HoZr2Sc at its relaxed geometry. The functional is GGA-PBE.

```
HoZr2Sc
1.0
3.7652 0.0000 0.0000
0.0000 3.7652 0.0000
0.0000 0.0000 7.0399
Ho Zr Sc
1 2 1
Cartesian
0.0000 0.0000 0.0000
1.8826 1.8826 1.9890
1.8826 1.8826 5.0508
0.0000 0.0000 3.5199
```

Output
DOS(E_F) = 7.6 states/eV per cell
relative energy among the computed polymorphs = 106 meV per atom
space-group type = P4/mmm (123)
total energy = -6.8394 eV per atom
formation enthalpy at 0 K = 0.16 eV/atom

=====

(3)
This record from Alexandria via LeMat-Bulk describes crystalline Ho8ZrSc2 at its relaxed geometry. The functional is GGA-PBE.

```
Ho8ZrSc2
1.0
7.4959 -3.9298 0.0000
7.4959 3.9298 0.0000
-1.4355 0.0000 5.7793
Ho Zr Sc
8 1 2
Cartesian
5.4505 2.4057 4.1195
1.1184 0.0000 4.7948
8.1057 2.4057 1.6598
3.6145 0.0000 2.3759
9.9417 0.0000 3.4034
5.4505 -2.4057 4.1195
12.4378 0.0000 0.9846
8.1057 -2.4057 1.6598
6.7781 0.0000 2.8897
5.8891 0.0000 0.0599
7.6671 0.0000 5.7194
```

Output
DOS(E_F) = 17.3 states/eV per cell
space-group type = C2/m (12)
total energy = -4.9474 eV per atom
formation enthalpy at 0 K = 0.31 eV/atom

=====

(4)
This record from Alexandria via LeMat-Bulk describes crystalline HoZr2Sc9 at its relaxed geometry. The functional is GGA-PBE.

```
HoZr2Sc9
1.0
4.5992 0.0000 0.0000
0.0000 4.5992 0.0000
0.0000 0.0000 13.8952
Ho Zr Sc
1 2 9
Cartesian
0.0000 0.0000 0.0000
0.0000 0.0000 4.6446
0.0000 0.0000 9.2506
0.0000 2.2996 2.4564
0.0000 2.2996 6.9476
0.0000 2.2996 11.4388
2.2996 0.0000 2.4564
2.2996 0.0000 6.9476
2.2996 0.0000 11.4388
2.2996 2.2996 0.0000
2.2996 2.2996 4.6824
2.2996 2.2996 9.2128
```

Output
DOS(E_F) = 19.9 states/eV per cell
space-group type = P4/mmm (123)
total energy = -6.5193 eV per atom
formation enthalpy at 0 K = 0.04 eV/atom

=====

(5)
This record from Alexandria via LeMat-Bulk describes crystalline HoZr3Sc3 at its relaxed geometry. The functional is GGA-PBE.

```
HoZr3Sc3
1.0
5.4262 -2.5120 0.0000
5.4262 2.5120 0.0000
-1.6526 0.0000 12.7255
Ho Zr Sc
2 6 6
Cartesian
1.5691 0.0000 0.1727
7.6307 0.0000 12.5528
-0.2389 0.0000 2.9519
1.7981 0.0000 10.2449
4.1639 0.0000 2.0013
5.0360 0.0000 10.7242
7.4017 0.0000 2.4806
9.4387 0.0000 9.7736
0.4045 0.0000 7.2017
2.2138 0.0000 4.5674
3.6234 0.0000 7.7266
5.5765 0.0000 4.9989
6.9860 0.0000 8.1581
8.7953 0.0000 5.5238
```

Output
DOS(E_F) = 19.2 states/eV per cell
relative energy among the computed polymorphs = 95 meV per atom
space-group type = C2/m (12)
total energy = -6.9377 eV per atom
formation enthalpy at 0 K = 0.09 eV/atom

=====

(6)
This record from Alexandria via LeMat-Bulk describes crystalline HoZrSc3 at its relaxed geometry. The functional is GGA-PBE.

```
HoZrSc3
1.0
7.8670 0.0000 0.0000
0.0000 3.2725 0.0000
-0.2932 0.0000 10.1937
Ho Zr Sc
2 2 6
Cartesian
1.1221 0.8181 1.3574
6.4517 2.4544 8.8364
3.7078 2.4544 6.3864
3.8661 0.8181 3.8073
1.0821 0.8181 7.2109
1.2667 2.4544 4.4379
2.7204 2.4544 9.2807
4.8535 0.8181 0.9131
6.3071 0.8181 5.7558
6.4917 2.4544 2.9829
```

Output
DOS(E_F) = 12.9 states/eV per cell
relative energy among the computed polymorphs = 116 meV per atom
space-group type = P2_1/m (11)
total energy = -6.2696 eV per atom
formation enthalpy at 0 K = 0.15 eV/atom

=====

(7)
This record from Alexandria via LeMat-Bulk describes crystalline HoZr2Sc at its relaxed geometry. The functional is GGA-PBE.

```
HoZr2Sc
1.0
4.5827 0.0000 0.0000
0.0000 4.6823 0.0000
-0.0084 0.0000 9.3759
Ho Zr Sc
2 4 2
Cartesian
-0.0004 1.1706 1.2759
4.5747 3.5118 8.1000
4.5775 1.1706 5.8114
-0.0032 3.5118 3.5645
2.2865 1.1706 3.6053
2.2878 3.5118 5.7706
2.2841 1.1706 8.0357
2.2902 3.5118 1.3402
```

Output
DOS(E_F) = 11.5 states/eV per cell
relative energy among the computed polymorphs = 0 meV per atom
space-group type = P2_1/m (11)
total energy = -6.9457 eV per atom
formation enthalpy at 0 K = 0.06 eV/atom

=====

(8)
This record from Alexandria via LeMat-Bulk describes crystalline Ho6ZrSc at its relaxed geometry. The functional is GGA-PBE.

```
Ho6ZrSc
1.0
3.2161 -5.5774 0.0000
3.2161 5.5774 0.0000
-0.0051 0.0000 6.4631
Ho Zr Sc
6 1 1
Cartesian
0.4172 0.0000 1.6023
1.8202 2.4239 4.8608
4.6068 2.4239 1.6023
1.8202 -2.4239 4.8608
4.6068 -2.4239 1.6023
6.0098 0.0000 4.8608
3.2161 0.0000 0.0000
3.2135 0.0000 3.2316
```

Output
DOS(E_F) = 13.2 states/eV per cell
relative energy among the computed polymorphs = 0 meV per atom
space-group type = C2/m (12)
total energy = -5.0782 eV per atom
formation enthalpy at 0 K = 0.22 eV/atom

=====

(9)
This record from Alexandria via LeMat-Bulk describes crystalline HoZr6Sc12 at its relaxed geometry. The functional is GGA-PBE.

```
HoZr6Sc12
1.0
6.5240 0.0000 0.0000
-1.7038 7.7553 0.0000
-0.0336 -3.4950 9.1983
Ho Zr Sc
1 6 12
Cartesian
0.0000 0.0000 0.0000
-0.0227 -1.3198 6.1050
0.0382 5.1371 0.4433
1.5000 4.0897 7.8707
3.2867 0.1706 1.3276
4.7484 -0.8768 8.7550
4.8094 5.5801 3.0933
-0.0376 2.6990 2.2233
-0.1176 3.7289 5.2143
1.5756 0.4672 3.8362
1.7016 -0.9354 8.7903
1.5259 1.3697 6.7749
1.5562 5.4410 3.1680
3.2304 -1.1807 6.0302
3.2607 2.8907 2.4234
3.0851 5.1957 0.4080
3.2110 3.7931 5.3621
4.9043 0.5314 3.9840
4.8243 1.5613 6.9750
```

Output
DOS(E_F) = 26.8 states/eV per cell
relative energy among the computed polymorphs = 0 meV per atom
space-group type = P-1 (2)
total energy = -6.8669 eV per atom
formation enthalpy at 0 K = 0.07 eV/atom

=====

(10)
This record from Alexandria via LeMat-Bulk describes crystalline Ho12ZrSc2 at its relaxed geometry. The functional is GGA-PBE.

```
Ho12ZrSc2
1.0
5.4130 0.0000 0.0000
0.0000 5.4130 0.0000
0.0000 0.0000 17.3971
Ho Zr Sc
12 1 2
Cartesian
0.0000 0.0000 2.9744
0.0000 0.0000 5.7194
0.0000 0.0000 11.6777
0.0000 0.0000 14.4227
0.0000 2.7065 1.6230
0.0000 2.7065 6.9817
0.0000 2.7065 10.4154
0.0000 2.7065 15.7741
2.7065 0.0000 1.6230
2.7065 0.0000 6.9817
2.7065 0.0000 10.4154
2.7065 0.0000 15.7741
2.7065 2.7065 0.0000
2.7065 2.7065 4.2283
2.7065 2.7065 13.1689
```

Output
DOS(E_F) = 26.8 states/eV per cell
space-group type = P4/mmm (123)
total energy = -4.1803 eV per atom
formation enthalpy at 0 K = 0.90 eV/atom

=====

(11)
This record from Alexandria via LeMat-Bulk describes crystalline HoZr2Sc at its relaxed geometry. The functional is GGA-PBE.

```
HoZr2Sc
1.0
1.6466 0.9507 10.6320
-1.6466 0.9507 10.6320
0.0000 -1.9013 10.6320
Ho Zr Sc
1 2 1
Cartesian
0.0000 0.0000 0.0000
0.0000 0.0000 7.8979
0.0000 0.0000 13.3459
0.0000 0.0000 26.5738
```

Output
DOS(E_F) = 5.5 states/eV per cell
relative energy among the computed polymorphs = 14 meV per atom
space-group type = R3m (160)
total energy = -6.9318 eV per atom
formation enthalpy at 0 K = 0.07 eV/atom

=====

(12)
This record from Alexandria via LeMat-Bulk describes crystalline Ho4ZrSc6 at its relaxed geometry. The functional is GGA-PBE.

```
Ho4ZrSc6
1.0
8.4246 0.0000 0.0000
0.0000 8.4246 0.0000
0.0000 0.0000 8.2233
Ho Zr Sc
8 2 12
Cartesian
1.2550 2.9573 2.0558
1.2550 2.9573 6.1675
2.9573 7.1697 2.0558
2.9573 7.1697 6.1675
5.4673 1.2550 2.0558
5.4673 1.2550 6.1675
7.1697 5.4673 2.0558
7.1697 5.4673 6.1675
0.0000 0.0000 0.0000
4.2123 4.2123 4.1117
0.0000 0.0000 2.7304
0.0000 0.0000 5.4930
1.2585 5.4947 4.1117
1.2824 5.4708 0.0000
2.9299 1.2585 4.1117
2.9538 1.2824 0.0000
4.2123 4.2123 1.3813
4.2123 4.2123 6.8420
5.4708 7.1422 0.0000
5.4947 7.1661 4.1117
7.1422 2.9538 0.0000
7.1661 2.9299 4.1117
```

Output
DOS(E_F) = 28.8 states/eV per cell
space-group type = P4/mnc (128)
total energy = -5.7682 eV per atom
formation enthalpy at 0 K = 0.13 eV/atom

=====

(13)
This record from Alexandria via LeMat-Bulk describes crystalline HoZrSc at its relaxed geometry. The functional is GGA-PBE.

```
HoZrSc
1.0
1.6733 0.9661 8.0102
-1.6733 0.9661 8.0102
0.0000 -1.9321 8.0102
Ho Zr Sc
1 1 1
Cartesian
0.0000 0.0000 0.0000
0.0000 0.0000 5.3046
0.0000 0.0000 18.8548
```

Output
DOS(E_F) = 4.3 states/eV per cell
relative energy among the computed polymorphs = 0 meV per atom
space-group type = R3m (160)
total energy = -6.4411 eV per atom
formation enthalpy at 0 K = 0.04 eV/atom

=====

(14)
This record from Alexandria via LeMat-Bulk describes crystalline HoZr2Sc6 at its relaxed geometry. The functional is GGA-PBE.

```
HoZr2Sc6
1.0
5.7618 -6.7158 0.0000
5.7618 6.7158 0.0000
-1.4705 0.0000 5.7905
Ho Zr Sc
2 4 12
Cartesian
4.6589 5.2350 4.3429
5.3942 -5.2350 1.4476
3.2751 0.2856 3.6490
4.0104 -0.2856 0.7537
6.0428 0.2856 5.0368
6.7780 -0.2856 2.1416
0.4921 1.2718 4.7488
2.6637 2.5980 1.7119
1.2274 -1.2718 1.8535
3.7583 2.4499 5.6746
5.5595 2.4499 3.0112
1.9284 -2.5980 4.6071
8.1247 2.5980 1.1834
4.4936 -2.4499 2.7794
6.2948 -2.4499 0.1159
8.8258 1.2718 3.9370
7.3894 -2.5980 4.0786
9.5610 -1.2718 1.0417
```

Output
DOS(E_F) = 24.8 states/eV per cell
relative energy among the computed polymorphs = 36 meV per atom
space-group type = C2/c (15)
total energy = -6.5475 eV per atom
formation enthalpy at 0 K = 0.08 eV/atom

=====

(15)
This record from Alexandria via LeMat-Bulk describes crystalline HoZr2Sc10 at its relaxed geometry. The functional is GGA-PBE.

```
HoZr2Sc10
1.0
0.0000 7.0616 7.9054
3.0284 0.0000 7.9054
3.0284 7.0616 0.0000
Ho Zr Sc
1 2 10
Cartesian
0.0000 0.0000 0.0000
1.5142 3.5308 0.0000
1.5142 3.5308 7.9054
1.5142 0.0000 3.9527
3.0284 2.6049 5.2860
3.0284 5.5905 6.3098
3.0284 2.6049 10.5247
3.0284 5.5905 9.5009
1.5142 7.0616 3.9527
3.0284 8.5328 6.3098
3.0284 11.5183 5.2860
3.0284 8.5328 9.5009
3.0284 11.5183 10.5247
```

Output
DOS(E_F) = 30.7 states/eV per cell
space-group type = Fmmm (69)
total energy = -6.3051 eV per atom
formation enthalpy at 0 K = 0.23 eV/atom

=====

(16)
This record from Alexandria via LeMat-Bulk describes crystalline Ho2Zr5Sc12 at its relaxed geometry. The functional is GGA-PBE.

```
Ho2Zr5Sc12
1.0
7.2668 -4.1590 0.0000
7.2668 4.1590 0.0000
-0.2084 0.0000 7.8582
Ho Zr Sc
2 5 12
Cartesian
7.2668 2.3342 0.0000
7.2668 -2.3342 0.0000
-0.1042 0.0000 3.9291
3.2787 0.0000 4.2251
5.1097 0.0000 0.4531
9.2155 0.0000 7.4051
11.0465 0.0000 3.6330
4.3126 2.4349 6.1774
2.2357 0.0000 6.7662
5.6008 1.6755 3.0896
10.0126 2.4349 1.6808
8.7244 1.6755 4.7686
6.2627 0.0000 5.6941
8.0625 0.0000 2.1641
5.6008 -1.6755 3.0896
4.3126 -2.4349 6.1774
8.7244 -1.6755 4.7686
12.0895 0.0000 1.0920
10.0126 -2.4349 1.6808
```

Output
DOS(E_F) = 25.8 states/eV per cell
space-group type = C2/m (12)
total energy = -6.5874 eV per atom
formation enthalpy at 0 K = 0.14 eV/atom

=====

(17)
This record from Alexandria via LeMat-Bulk describes crystalline HoZr3Sc3 at its relaxed geometry. The functional is GGA-PBE.

```
HoZr3Sc3
1.0
8.7544 0.0000 0.0000
-4.3772 7.5815 0.0000
0.0000 0.0000 5.2196
Ho Zr Sc
2 6 6
Cartesian
0.0000 5.0543 1.3049
4.3772 2.5272 3.9147
-3.2025 6.1651 1.3049
0.6394 1.7255 1.3049
1.8140 0.3091 3.9147
2.5632 7.2725 1.3049
3.7378 5.8560 3.9147
7.5797 1.4165 3.9147
-1.9809 4.7574 3.9147
1.2476 3.4873 3.9147
3.6439 0.6632 1.3049
0.7333 6.9183 3.9147
3.1296 4.0942 1.3049
6.3581 2.8241 1.3049
```

Output
DOS(E_F) = 20.4 states/eV per cell
relative energy among the computed polymorphs = 0 meV per atom
space-group type = P6_3/m (176)
total energy = -7.0323 eV per atom
formation enthalpy at 0 K = 0.00 eV/atom

=====

(18)
This record from Alexandria via LeMat-Bulk describes crystalline Ho3ZrSc2 at its relaxed geometry. The functional is GGA-PBE.

```
Ho3ZrSc2
1.0
8.3266 -1.6420 0.0000
8.3266 1.6420 0.0000
-6.0005 0.0000 12.1497
Ho Zr Sc
6 2 4
Cartesian
-0.7760 0.0000 2.6998
0.0325 0.0000 8.4779
0.7520 0.0000 11.8463
9.9007 0.0000 0.3034
10.6201 0.0000 3.6718
11.4287 0.0000 9.4499
5.0873 0.0000 4.3358
5.5653 0.0000 7.8139
-2.2466 0.0000 10.5805
2.6385 0.0000 6.4524
8.0141 0.0000 5.6973
12.8992 0.0000 1.5692
```

Output
DOS(E_F) = 17.9 states/eV per cell
space-group type = C2/m (12)
total energy = -5.6622 eV per atom
formation enthalpy at 0 K = 0.16 eV/atom

=====

(19)
This record from Alexandria via LeMat-Bulk describes crystalline Ho6ZrSc2 at its relaxed geometry. The functional is GGA-PBE.

```
Ho6ZrSc2
1.0
4.3955 -8.4427 0.0000
4.3955 8.4427 0.0000
0.0000 0.0000 3.4814
Ho Zr Sc
6 1 2
Cartesian
1.5889 2.7804 0.0000
1.6857 0.0000 1.7407
1.5889 -2.7804 0.0000
7.2021 2.7804 0.0000
7.1054 0.0000 1.7407
7.2021 -2.7804 0.0000
4.3955 0.0000 0.0000
4.3955 2.9136 1.7407
4.3955 -2.9136 1.7407
```

Output
DOS(E_F) = 15.0 states/eV per cell
relative energy among the computed polymorphs = 0 meV per atom
space-group type = Cmmm (65)
total energy = -5.2104 eV per atom
formation enthalpy at 0 K = 0.20 eV/atom

=====

(20)
This record from Alexandria via LeMat-Bulk describes crystalline HoZrSc4 at its relaxed geometry. The functional is GGA-PBE.

```
HoZrSc4
1.0
4.1269 -6.6288 0.0000
4.1269 6.6288 0.0000
-2.0050 0.0000 5.6472
Ho Zr Sc
2 2 8
Cartesian
2.6232 5.4862 4.2354
3.6257 -5.4862 1.4118
3.6257 0.0425 1.4118
2.6232 -0.0425 4.2354
-0.0078 1.7180 4.9396
2.4144 2.5106 2.6355
0.9946 -1.7180 2.1160
4.8370 2.5106 0.1881
1.4119 -2.5106 5.4591
5.2543 1.7180 3.5312
3.8345 -2.5106 3.0117
6.2568 -1.7180 0.7076
```

Output
DOS(E_F) = 21.5 states/eV per cell
relative energy among the computed polymorphs = 104 meV per atom
space-group type = C2/c (15)
total energy = -6.2994 eV per atom
formation enthalpy at 0 K = 0.11 eV/atom